(1)
This record from Alexandria via LeMat-Bulk describes a relaxed structure of Tb2DyAl. The functional is PBE.

Computed properties:
energy above the most stable polymorph in this dataset: 302 meV per atom

a = 3.4673 Å, b = 3.4673 Å, c = 11.6649 Å
α = 81.45°, β = 81.45°, γ = 60.00°
Last column: magnetic moment on the atom in μB.
Positions (direct):
Tb 0.1002 0.1002 0.6993  0.09
Tb 0.8998 0.8998 0.3007  0.09
Al 0.5000 0.5000 0.5000  0.00
Dy 0.0000 0.0000 0.0000  0.42


(2)
This record from Alexandria via LeMat-Bulk describes a relaxed structure of TbDy7Al4. The functional is PBE.

a = 5.4836 Å, b = 9.0647 Å, c = 7.4549 Å
α = 77.46°, β = 68.42°, γ = 72.39°
Last column: magnetic moment on the atom in μB.
Positions (direct):
Dy 0.2116 0.1223 0.4544  0.01
Dy 0.7884 0.8777 0.5456  0.01
Dy 0.0655 0.6107 0.2584  0.00
Dy 0.2964 0.6467 0.7605  0.00
Dy 0.9345 0.3893 0.7416  0.00
Dy 0.5000 0.0000 0.0000  0.10
Dy 0.7036 0.3533 0.2395  0.00
Al 0.6765 0.6677 0.9792  0.00
Al 0.4456 0.7624 0.3463  0.00
Al 0.3235 0.3323 0.0208  0.00
Al 0.5544 0.2376 0.6537  0.00
Tb 0.0000 0.0000 0.0000  0.12


(3)
This record from Alexandria via LeMat-Bulk describes a relaxed structure of Tb4DyAl. The functional is PBE.

Computed properties:
energy above the most stable polymorph in this dataset: 82 meV per atom

a = 6.2488 Å, b = 8.9516 Å, c = 8.1806 Å
α = 113.61°, β = 99.90°, γ = 112.58°
Positions (direct):
Tb 0.3703 0.9149 0.6310
Tb 0.0402 0.1634 0.7671
Tb 0.7607 0.7161 0.6310
Tb 0.2269 0.6037 0.7671
Tb 0.6297 0.0851 0.3690
Tb 0.7731 0.3963 0.2329
Tb 0.2393 0.2839 0.3690
Tb 0.9598 0.8366 0.2329
Dy 0.3416 0.5916 0.1832
Dy 0.6584 0.4084 0.8168
Al 0.7505 0.0005 0.0011
Al 0.2495 0.9995 0.9989


(4)
This record from Alexandria via LeMat-Bulk describes a relaxed structure of Tb2DyAl. The functional is PBE.

Computed properties:
energy above the most stable polymorph in this dataset: 137 meV per atom

a = 5.3570 Å, b = 5.3570 Å, c = 5.3570 Å
α = 60.00°, β = 60.00°, γ = 60.00°
Positions (direct):
Dy 0.5000 0.5000 0.5000
Al 0.0000 0.0000 0.0000
Tb 0.7500 0.7500 0.7500
Tb 0.2500 0.2500 0.2500


(5)
This record from Alexandria via LeMat-Bulk describes a relaxed structure of TbDy3Al3. The functional is PBE.

a = 7.2394 Å, b = 7.2394 Å, c = 6.9265 Å
α = 90.00°, β = 90.00°, γ = 90.20°
Positions (direct):
Dy 0.7430 0.7430 0.5000
Dy 0.2543 0.7457 0.0000
Dy 0.7457 0.2543 0.0000
Dy 0.2562 0.7438 0.5000
Dy 0.7438 0.2562 0.5000
Dy 0.2570 0.2570 0.5000
Al 0.0000 0.5000 0.2515
Al 0.5000 0.0000 0.7485
Al 0.0000 0.5000 0.7485
Al 0.5000 0.0000 0.2515
Al 0.0000 0.0000 0.7470
Al 0.0000 0.0000 0.2530
Tb 0.2566 0.2566 0.0000
Tb 0.7434 0.7434 0.0000


(6)
This record from Alexandria via LeMat-Bulk describes a relaxed structure of Tb2Dy2Al. The functional is PBE.

Computed properties:
energy above the most stable polymorph in this dataset: 540 meV per atom

a = 4.2414 Å, b = 4.2414 Å, c = 9.1961 Å
α = 103.33°, β = 103.33°, γ = 90.00°
Positions (direct):
Dy 0.5871 0.5871 0.1742
Dy 0.4129 0.4129 0.8258
Al 0.0000 0.0000 0.0000
Tb 0.2500 0.7500 0.5000
Tb 0.7500 0.2500 0.5000


(7)
This record from Alexandria via LeMat-Bulk describes a relaxed structure of Tb3DyAl8. The functional is PBE.

Computed properties:
energy above the most stable polymorph in this dataset: 0 meV per atom

a = 9.6828 Å, b = 9.6828 Å, c = 9.6828 Å
α = 33.43°, β = 33.43°, γ = 33.43°
Positions (direct):
Al 0.5000 0.5000 0.5000
Al 0.2499 0.2499 0.7499
Al 0.0000 0.0000 0.0000
Al 0.2499 0.7499 0.2499
Al 0.7501 0.7501 0.2502
Al 0.7501 0.2502 0.7501
Al 0.7499 0.2499 0.2499
Al 0.2502 0.7501 0.7501
Tb 0.1875 0.1875 0.1875
Tb 0.8125 0.8125 0.8125
Tb 0.3125 0.3125 0.3125
Dy 0.6875 0.6875 0.6875


(8)
This record from Alexandria via LeMat-Bulk describes a relaxed structure of Tb5Dy2Al. The functional is PBE.

a = 4.8634 Å, b = 4.8634 Å, c = 10.5564 Å
α = 103.32°, β = 103.32°, γ = 90.00°
Positions (direct):
Tb 0.6194 0.1194 0.2388
Tb 0.1194 0.6194 0.2388
Tb 0.8806 0.3806 0.7612
Tb 0.3806 0.8806 0.7612
Tb 0.5000 0.5000 0.0000
Dy 0.2536 0.2536 0.5073
Dy 0.7464 0.7464 0.4927
Al 0.0000 0.0000 0.0000


(9)
This record from Alexandria via LeMat-Bulk describes a relaxed structure of TbDy4Al4. The functional is PBE.

a = 5.7964 Å, b = 8.8138 Å, c = 8.8138 Å
α = 90.00°, β = 90.00°, γ = 90.00°
Positions (direct):
Dy 0.6146 0.1658 0.4260
Dy 0.8854 0.6658 0.9260
Dy 0.1146 0.9260 0.3342
Dy 0.3854 0.4260 0.8342
Dy 0.8854 0.3342 0.0740
Dy 0.3854 0.5740 0.1658
Dy 0.6146 0.8342 0.5740
Dy 0.1146 0.0740 0.6658
Al 0.5968 0.9046 0.1947
Al 0.0968 0.6947 0.5954
Al 0.9032 0.5954 0.3053
Al 0.0968 0.3053 0.4046
Al 0.4032 0.1947 0.0954
Al 0.9032 0.4046 0.6947
Al 0.4032 0.8053 0.9046
Al 0.5968 0.0954 0.8053
Tb 0.5000 0.5000 0.5000
Tb 0.0000 0.0000 0.0000


(10)
This record from Alexandria via LeMat-Bulk describes a relaxed structure of TbDy2Al6. The functional is PBE.

Computed properties:
energy above the most stable polymorph in this dataset: 0 meV per atom

a = 3.4855 Å, b = 7.9107 Å, c = 7.9107 Å
α = 120.00°, β = 90.00°, γ = 90.00°
Positions (direct):
Al 0.5000 0.0000 0.3336
Al 0.5000 0.3336 0.3336
Al 0.5000 0.3336 0.0000
Al 0.5000 0.6664 0.6664
Al 0.5000 0.6664 0.0000
Al 0.5000 0.0000 0.6664
Tb 0.0000 0.0000 0.0000
Dy 0.0000 0.6667 0.3333
Dy 0.0000 0.3333 0.6667


(11)
This record from Alexandria via LeMat-Bulk describes a relaxed structure of TbDyAl4. The functional is PBE.

a = 5.5705 Å, b = 5.5705 Å, c = 5.5705 Å
α = 60.00°, β = 60.00°, γ = 60.00°
Positions (direct):
Tb 0.0000 0.0000 0.0000
Al 0.6250 0.1251 0.6250
Al 0.1251 0.6250 0.6250
Al 0.6250 0.6250 0.1251
Al 0.6250 0.6250 0.6250
Dy 0.2500 0.2500 0.2500


(12)
This record from Alexandria via LeMat-Bulk describes a relaxed structure of Tb12DyAl3. The functional is PBE.

a = 4.8115 Å, b = 4.8115 Å, c = 19.6060 Å
α = 90.00°, β = 90.00°, γ = 90.00°
Positions (direct):
Tb 0.0000 0.5000 0.3779
Tb 0.0000 0.5000 0.8659
Tb 0.5000 0.0000 0.8659
Tb 0.5000 0.5000 0.5000
Tb 0.5000 0.5000 0.0000
Tb 0.5000 0.5000 0.7433
Tb 0.5000 0.0000 0.3779
Tb 0.5000 0.5000 0.2567
Tb 0.0000 0.5000 0.6221
Tb 0.0000 0.5000 0.1341
Tb 0.5000 0.0000 0.6221
Tb 0.5000 0.0000 0.1341
Al 0.0000 0.0000 0.2579
Al 0.0000 0.0000 0.7421
Al 0.0000 0.0000 0.5000
Dy 0.0000 0.0000 0.0000


(13)
This record from Alexandria via LeMat-Bulk describes a relaxed structure of Tb3DyAl. The functional is PBE.

Computed properties:
energy above the most stable polymorph in this dataset: 247 meV per atom

a = 5.1993 Å, b = 9.2341 Å, c = 5.6339 Å
α = 145.04°, β = 90.00°, γ = 90.00°
Positions (direct):
Dy 0.5000 0.9104 0.8209
Tb 0.0000 0.9870 0.3386
Tb 0.0000 0.3517 0.3386
Tb 0.5000 0.4323 0.8645
Al 0.0000 0.6733 0.3465


(14)
This record from Alexandria via LeMat-Bulk describes a relaxed structure of TbDyAl. The functional is PBE.

Computed properties:
energy above the most stable polymorph in this dataset: 125 meV per atom

a = 4.5513 Å, b = 4.5513 Å, c = 8.0649 Å
α = 89.91°, β = 90.09°, γ = 90.00°
Last column: magnetic moment on the atom in μB.
Positions (direct):
Al 0.2510 0.7490 0.2652  0.00
Al 0.7490 0.2510 0.7348  0.00
Tb 0.7509 0.2491 0.3567  0.11
Tb 0.2491 0.7509 0.6433  0.11
Dy 0.7500 0.7500 0.0000  0.14
Dy 0.2500 0.2500 0.0000  0.14


(15)
This record from Alexandria via LeMat-Bulk describes a relaxed structure of Tb6DyAl2. The functional is PBE.

Computed properties:
energy above the most stable polymorph in this dataset: 0 meV per atom

a = 3.6852 Å, b = 6.5544 Å, c = 11.5418 Å
α = 75.62°, β = 80.81°, γ = 73.67°
Positions (direct):
Tb 0.6876 0.5007 0.1241
Tb 0.0220 0.2848 0.6712
Tb 0.9780 0.7152 0.3288
Tb 0.3111 0.7900 0.5879
Tb 0.3124 0.4993 0.8759
Tb 0.6889 0.2100 0.4121
Dy 0.0000 0.0000 0.0000
Al 0.3519 0.0924 0.2037
Al 0.6481 0.9076 0.7963


(16)
This record from Alexandria via LeMat-Bulk describes a relaxed structure of Tb2DyAl2. The functional is PBE.

Computed properties:
energy above the most stable polymorph in this dataset: 3 meV per atom

a = 3.6566 Å, b = 5.1470 Å, c = 13.5306 Å
α = 90.00°, β = 97.79°, γ = 90.00°
Positions (direct):
Tb 0.2332 0.7500 0.4672
Tb 0.9534 0.2500 0.9063
Tb 0.7668 0.2500 0.5328
Tb 0.0466 0.7500 0.0937
Al 0.6404 0.7500 0.2818
Al 0.3597 0.2500 0.7182
Al 0.5496 0.2500 0.0993
Al 0.4504 0.7500 0.9007
Dy 0.1438 0.2500 0.2898
Dy 0.8562 0.7500 0.7102


(17)
This record from Alexandria via LeMat-Bulk describes a relaxed structure of Tb3Dy4Al. The functional is PBE.

a = 3.5354 Å, b = 3.5354 Å, c = 19.0536 Å
α = 90.00°, β = 90.00°, γ = 90.00°
Positions (direct):
Dy 0.0000 0.0000 0.1000
Dy 0.0000 0.0000 0.3668
Dy 0.0000 0.0000 0.9000
Dy 0.0000 0.0000 0.6332
Tb 0.5000 0.5000 0.2350
Tb 0.5000 0.5000 0.7650
Tb 0.5000 0.5000 0.5000
Al 0.5000 0.5000 0.0000


(18)
This record from Alexandria via LeMat-Bulk describes a relaxed structure of Tb4DyAl. The functional is PBE.

Computed properties:
energy above the most stable polymorph in this dataset: 0 meV per atom

a = 3.5372 Å, b = 3.5372 Å, c = 14.0684 Å
α = 90.00°, β = 90.00°, γ = 90.00°
Positions (direct):
Tb 0.0000 0.0000 0.6363
Tb 0.5000 0.5000 0.8204
Tb 0.5000 0.5000 0.1796
Tb 0.0000 0.0000 0.3637
Al 0.5000 0.5000 0.5000
Dy 0.0000 0.0000 0.0000


(19)
This record from Alexandria via LeMat-Bulk describes a relaxed structure of Tb3DyAl8. The functional is PBE.

Computed properties:
energy above the most stable polymorph in this dataset: 19 meV per atom

a = 5.5621 Å, b = 5.5621 Å, c = 9.1420 Å
α = 90.00°, β = 90.00°, γ = 120.00°
Positions (direct):
Al 0.9909 0.4954 0.7497
Al 0.3333 0.6667 0.9998
Al 0.1621 0.3242 0.2502
Al 0.5046 0.0091 0.7497
Al 0.1621 0.8379 0.2502
Al 0.5046 0.4954 0.7497
Al 0.3333 0.6667 0.5002
Al 0.6758 0.8379 0.2502
Tb 0.6667 0.3333 0.0681
Tb 0.6667 0.3333 0.4322
Tb 0.0000 0.0000 0.9321
Dy 0.0000 0.0000 0.5679


(20)
This record from Alexandria via LeMat-Bulk describes a relaxed structure of Tb2DyAl3. The functional is PBE.

a = 3.5943 Å, b = 3.5943 Å, c = 10.9141 Å
α = 90.00°, β = 90.00°, γ = 90.00°
Positions (direct):
Al 0.0000 0.0000 0.6650
Al 0.0000 0.0000 0.0000
Al 0.0000 0.0000 0.3350
Tb 0.5000 0.5000 0.1674
Tb 0.5000 0.5000 0.8326
Dy 0.5000 0.5000 0.5000


(21)
This record from Alexandria via LeMat-Bulk describes a relaxed structure of Tb2DyAl. The functional is PBE.

Computed properties:
energy above the most stable polymorph in this dataset: 120 meV per atom

a = 3.5927 Å, b = 3.5927 Å, c = 10.6347 Å
α = 80.28°, β = 80.28°, γ = 60.00°
Last column: magnetic moment on the atom in μB.
Positions (direct):
Al 0.6664 0.6664 0.0009  0.00
Tb 0.0728 0.0728 0.7815  0.10
Tb 0.2605 0.2605 0.2184  0.06
Dy 0.5003 0.5003 0.4992  0.28


(22)
This record from Alexandria via LeMat-Bulk describes a relaxed structure of Tb2DyAl. The functional is PBE.

Computed properties:
energy above the most stable polymorph in this dataset: 7 meV per atom

a = 3.5091 Å, b = 3.5091 Å, c = 9.0815 Å
α = 90.00°, β = 90.00°, γ = 90.00°
Positions (direct):
Dy 0.5000 0.5000 0.5000
Tb 0.0000 0.0000 0.2149
Tb 0.0000 0.0000 0.7851
Al 0.5000 0.5000 0.0000


(23)
This record from Alexandria via LeMat-Bulk describes a relaxed structure of Tb4DyAl4. The functional is PBE.

a = 5.8437 Å, b = 8.8067 Å, c = 8.8067 Å
α = 90.00°, β = 90.00°, γ = 90.00°
Positions (direct):
Al 0.8999 0.5949 0.3063
Al 0.8999 0.4051 0.6937
Al 0.6001 0.9051 0.1937
Al 0.3999 0.8063 0.9051
Al 0.3999 0.1937 0.0949
Al 0.1001 0.6937 0.5949
Al 0.1001 0.3063 0.4051
Al 0.6001 0.0949 0.8063
Tb 0.1181 0.9262 0.3326
Tb 0.8819 0.6674 0.9262
Tb 0.3819 0.5738 0.1674
Tb 0.6181 0.1674 0.4262
Tb 0.3819 0.4262 0.8326
Tb 0.1181 0.0738 0.6674
Tb 0.6181 0.8326 0.5738
Tb 0.8819 0.3326 0.0738
Dy 0.5000 0.5000 0.5000
Dy 0.0000 0.0000 0.0000


Going through the records in order, we get magnetization values of 0.85, 0.24, 0.00, 0.01, 0.00, 0.00, 0.00, 0.00, 0.00, 0.00, 0.00, 0.00, 0.00, 0.38, 0.00, 0.00, 0.00, 0.00, 0.00, 0.00, 0.61, 0.00, 0.00 μB per formula unit.
Going through the records in order, we get ΔH_f (0 K) values of 0.117, -0.055, -0.035, -0.049, -0.266, 0.409, -0.530, -0.063, -0.156, -0.501, -0.525, -0.126, 0.107, -0.165, -0.163, -0.313, -0.084, -0.117, -0.511, -0.398, -0.065, -0.179, -0.159 eV/atom.